1.
The following is a GGA-PBE calculation of a geometry-optimized Zn2CdSe structure, from Alexandria via LeMat-Bulk.

DOS at the Fermi energy: 1.38 states/eV/f.u.
formation energy (no corrections): 72 meV/atom
energy above the lowest structure with this stoichiometry: 170 meV/atom

Geometry as POSCAR:
```
Zn2CdSe
1.0
3.859 0.000 0.000
0.000 6.194 0.000
0.000 0.000 7.462
Zn Cd Se
4 2 2
Direct
0.000 0.000 0.225
0.000 0.000 0.775
0.500 0.500 0.225
0.500 0.500 0.775
0.000 0.500 0.500
0.500 0.000 0.500
0.000 0.500 0.000
0.500 0.000 0.000
```



2.
The following is a GGA-PBE calculation of a geometry-optimized EuGaHg2 structure, from Alexandria via LeMat-Bulk.

DOS at the Fermi energy: 6.28 states/eV/f.u.
calculated formation energy: -0.32 eV/atom

Geometry as POSCAR:
```
EuGaHg2
1.0
4.712 0.000 0.000
0.000 4.712 0.000
0.000 0.000 4.566
Eu Ga Hg
1 1 2
Direct
0.000 0.000 0.000
0.500 0.500 0.000
0.000 0.500 0.500
0.500 0.000 0.500
```



3.
The following is a GGA-PBE calculation of a geometry-optimized Ba2TcRuS structure, from Alexandria via LeMat-Bulk.

DOS at the Fermi energy: 5.45 states/eV/f.u.
formation energy (no corrections): 385 meV/atom

Geometry as POSCAR:
```
Ba2TcRuS
1.0
6.100 0.000 0.000
0.000 6.100 0.000
0.000 0.000 4.311
Ba Tc Ru S
2 1 1 1
Direct
0.000 0.500 0.000
0.500 0.000 0.000
0.000 0.000 0.500
0.500 0.500 0.500
0.500 0.500 0.000
```



4.
The following is a GGA-PBE calculation of a geometry-optimized Th3MgTl4 structure, from Alexandria via LeMat-Bulk.

DOS at the Fermi energy: 7.63 states/eV/f.u.
calculated formation energy: -0.07 eV/atom
energy above the lowest structure with this stoichiometry: 44 meV/atom

Geometry as POSCAR:
```
Th3MgTl4
1.0
9.922 0.000 0.000
0.000 6.800 0.000
0.000 0.000 6.767
Th Mg Tl
6 2 8
Direct
0.000 0.020 0.000
0.249 0.751 0.764
0.251 0.249 0.264
0.500 0.980 0.500
0.749 0.249 0.264
0.751 0.751 0.764
0.000 0.515 0.033
0.500 0.485 0.533
0.000 0.491 0.533
0.000 0.998 0.506
0.240 0.749 0.262
0.260 0.251 0.762
0.500 0.002 0.006
0.500 0.509 0.033
0.740 0.251 0.762
0.760 0.749 0.262
```



5.
The following is a GGA-PBE calculation of a geometry-optimized LiB2C2 structure, from Alexandria via LeMat-Bulk.

DOS at the Fermi energy: 1.08 states/eV/f.u.
calculated formation energy: -0.03 eV/atom
energy above the lowest structure with this stoichiometry: 40 meV/atom

Geometry as POSCAR:
```
LiB2C2
1.0
7.286 0.000 0.000
0.000 2.723 0.000
0.000 0.000 4.651
Li B C
2 4 4
Direct
0.000 0.000 0.000
0.500 0.000 0.000
0.250 0.000 0.333
0.250 0.500 0.826
0.750 0.000 0.667
0.750 0.500 0.174
0.250 0.000 0.672
0.250 0.500 0.170
0.750 0.000 0.328
0.750 0.500 0.830
```



6.
The following is a GGA-PBE calculation of a geometry-optimized Tl2ReTe structure, from Alexandria via LeMat-Bulk.

DOS at the Fermi energy: 2.65 states/eV/f.u.
formation energy (no corrections): 1024 meV/atom
energy above the lowest structure with this stoichiometry: 617 meV/atom

Geometry as POSCAR:
```
Tl2ReTe
1.0
6.459 0.000 0.000
0.000 9.758 0.000
0.000 0.000 3.010
Tl Re Te
4 2 2
Direct
0.250 0.250 0.000
0.250 0.750 0.000
0.750 0.250 0.000
0.750 0.750 0.000
0.000 0.000 0.500
0.500 0.500 0.500
0.000 0.500 0.500
0.500 0.000 0.500
```



7.
The following is a GGA-PBE calculation of a geometry-optimized YGa3Pd2 structure, from Alexandria via LeMat-Bulk.

DOS at the Fermi energy: 1.53 states/eV/f.u.
calculated formation energy: -0.68 eV/atom

Geometry as POSCAR:
```
YGa3Pd2
1.0
-2.159 3.775 6.794
2.159 -3.775 6.794
2.159 3.775 -6.794
Y Ga Pd
2 6 4
Direct
0.132 0.132 0.000
0.868 0.868 0.000
0.117 0.324 0.793
0.338 0.000 0.338
0.470 0.676 0.793
0.530 0.324 0.207
0.662 0.000 0.662
0.883 0.676 0.207
0.180 0.500 0.680
0.308 0.808 0.500
0.692 0.192 0.500
0.820 0.500 0.320
```



8.
The following is a GGA-PBE calculation of a geometry-optimized Ba2Ni2Ag structure, from Alexandria via LeMat-Bulk.

DOS at the Fermi energy: 1.85 states/eV/f.u.
calculated formation energy: 0.38 eV/atom
energy above the lowest structure with this stoichiometry: 277 meV/atom

Geometry as POSCAR:
```
Ba2Ni2Ag
1.0
8.869 0.000 0.000
0.000 8.869 0.000
0.000 0.000 4.031
Ba Ni Ag
4 4 2
Direct
0.175 0.325 0.000
0.325 0.825 0.000
0.675 0.175 0.000
0.825 0.675 0.000
0.091 0.591 0.500
0.409 0.091 0.500
0.591 0.909 0.500
0.909 0.409 0.500
0.000 0.000 0.000
0.500 0.500 0.000
```



9.
The following is a GGA-PBE calculation of a geometry-optimized AlCS3 structure, from Alexandria via LeMat-Bulk.

DOS at the Fermi energy: 4.18 states/eV/f.u.
formation energy (no corrections): 1455 meV/atom
energy above the lowest structure with this stoichiometry: 507 meV/atom

Geometry as POSCAR:
```
AlCS3
1.0
4.567 0.000 0.000
0.000 4.567 0.000
0.000 0.000 4.567
Al C S
1 1 3
Direct
0.000 0.000 0.000
0.500 0.500 0.500
0.000 0.000 0.500
0.000 0.500 0.000
0.500 0.000 0.000
```



10.
The following is a GGA-PBE calculation of a geometry-optimized K2Zn2TeO6 structure, from Alexandria via LeMat-Bulk.

formation energy (no corrections): -1340 meV/atom

Geometry as POSCAR:
```
K2Zn2TeO6
1.0
2.948 1.702 5.857
-2.948 1.702 5.857
0.000 -3.404 5.857
K Zn Te O
2 2 1 6
Direct
0.203 0.203 0.203
0.797 0.797 0.797
0.387 0.387 0.387
0.613 0.613 0.613
0.000 0.000 0.000
0.220 0.220 0.768
0.220 0.768 0.220
0.232 0.780 0.780
0.768 0.220 0.220
0.780 0.232 0.780
0.780 0.780 0.232
```



11.
The following is a GGA-PBE calculation of a geometry-optimized HoMgCd4 structure, from Alexandria via LeMat-Bulk.

DOS at the Fermi energy: 4.87 states/eV/f.u.
calculated formation energy: -0.10 eV/atom
energy above the lowest structure with this stoichiometry: 0 meV/atom

Geometry as POSCAR:
```
HoMgCd4
1.0
0.000 4.130 4.130
4.130 0.000 4.130
4.130 4.130 0.000
Ho Mg Cd
1 1 4
Direct
0.000 0.000 0.000
0.250 0.250 0.250
0.124 0.625 0.625
0.625 0.124 0.625
0.625 0.625 0.124
0.625 0.625 0.625
```



12.
The following is a GGA-PBE calculation of a geometry-optimized Sm8YSc3 structure, from Alexandria via LeMat-Bulk.

DOS at the Fermi energy: 16.94 states/eV/f.u.
calculated formation energy: 0.05 eV/atom

Geometry as POSCAR:
```
Sm8YSc3
1.0
6.134 0.000 0.000
-2.014 6.743 0.000
-1.065 -2.210 9.015
Sm Y Sc
8 1 3
Direct
0.000 0.000 0.000
0.001 0.341 0.334
0.003 0.509 0.994
0.490 0.078 0.828
0.497 0.590 0.826
0.499 0.424 0.166
0.503 0.253 0.495
0.993 0.164 0.664
0.000 0.836 0.334
0.499 0.753 0.496
0.501 0.919 0.170
0.994 0.670 0.658
```



13.
The following is a GGA-PBE calculation of a geometry-optimized SrPmPd structure, from Alexandria via LeMat-Bulk.

DOS at the Fermi energy: 1.63 states/eV/f.u.
calculated formation energy: -0.45 eV/atom
energy above the lowest structure with this stoichiometry: 0 meV/atom

Geometry as POSCAR:
```
SrPmPd
1.0
8.066 0.000 0.000
0.000 4.657 0.000
-2.676 0.000 11.500
Sr Pm Pd
4 4 4
Direct
0.115 0.000 0.345
0.385 0.500 0.655
0.615 0.500 0.345
0.885 0.000 0.655
0.133 0.500 0.899
0.367 0.000 0.101
0.633 0.000 0.899
0.867 0.500 0.101
0.229 0.500 0.187
0.271 0.000 0.813
0.729 0.000 0.187
0.771 0.500 0.813
```



14.
The following is a GGA-PBE calculation of a geometry-optimized Rb2CaCd16 structure, from Alexandria via LeMat-Bulk.

DOS at the Fermi energy: 6.57 states/eV/f.u.
calculated formation energy: -0.08 eV/atom

Geometry as POSCAR:
```
Rb2CaCd16
1.0
5.303 3.062 5.156
-5.303 3.062 5.156
0.000 -6.124 5.156
Rb Ca Cd
2 1 16
Direct
0.000 0.000 0.000
0.304 0.304 0.304
0.737 0.737 0.737
0.005 0.005 0.509
0.005 0.509 0.005
0.158 0.656 0.656
0.305 0.305 0.808
0.305 0.808 0.305
0.358 0.655 0.954
0.358 0.954 0.655
0.509 0.005 0.005
0.529 0.529 0.529
0.655 0.358 0.954
0.655 0.954 0.358
0.656 0.158 0.656
0.656 0.656 0.158
0.808 0.305 0.305
0.954 0.358 0.655
0.954 0.655 0.358
```



15.
The following is a GGA-PBE calculation of a geometry-optimized PmZnAgHg structure, from Alexandria via LeMat-Bulk.

DOS at the Fermi energy: 3.10 states/eV/f.u.
calculated formation energy: -0.30 eV/atom

Geometry as POSCAR:
```
PmZnAgHg
1.0
7.031 0.000 0.000
0.000 7.031 0.000
0.000 0.000 7.031
Pm Zn Ag Hg
4 4 4 4
Direct
0.000 0.000 0.000
0.000 0.500 0.500
0.500 0.000 0.500
0.500 0.500 0.000
0.250 0.250 0.750
0.250 0.750 0.250
0.750 0.250 0.250
0.750 0.750 0.750
0.000 0.000 0.500
0.000 0.500 0.000
0.500 0.000 0.000
0.500 0.500 0.500
0.250 0.250 0.250
0.250 0.750 0.750
0.750 0.250 0.750
0.750 0.750 0.250
```



16.
The following is a GGA-PBE calculation of a geometry-optimized LiIn2I3 structure, from Alexandria via LeMat-Bulk.

DOS at the Fermi energy: 0.00 states/eV/f.u.
formation energy (no corrections): -692 meV/atom

Geometry as POSCAR:
```
LiIn2I3
1.0
13.599 0.000 0.000
0.000 4.673 0.000
0.000 0.000 14.489
Li In I
4 8 12
Direct
0.245 0.250 0.205
0.255 0.750 0.705
0.745 0.250 0.295
0.755 0.750 0.795
0.001 0.250 0.683
0.176 0.750 0.994
0.324 0.250 0.494
0.499 0.750 0.183
0.501 0.250 0.817
0.676 0.750 0.506
0.824 0.250 0.006
0.999 0.750 0.317
0.056 0.250 0.133
0.129 0.750 0.558
0.218 0.250 0.803
0.282 0.750 0.303
0.371 0.250 0.058
0.444 0.750 0.633
0.556 0.250 0.367
0.629 0.750 0.942
0.718 0.250 0.697
0.782 0.750 0.197
0.871 0.250 0.442
0.944 0.750 0.867
```



17.
The following is a GGA-PBE calculation of a geometry-optimized MnHgBr structure, from Alexandria via LeMat-Bulk.

DOS at the Fermi energy: 1.27 states/eV/f.u.
formation energy (no corrections): -57 meV/atom
energy above the lowest structure with this stoichiometry: 0 meV/atom

Geometry as POSCAR:
```
MnHgBr
1.0
3.686 0.000 0.000
-1.843 3.192 0.000
0.000 0.000 6.573
Mn Hg Br
1 1 1
Direct
0.000 0.000 0.000
0.667 0.333 0.725
0.333 0.667 0.236
```



18.
The following is a GGA-PBE calculation of a geometry-optimized Ba2AcPt9 structure, from Alexandria via LeMat-Bulk.

DOS at the Fermi energy: 8.09 states/eV/f.u.
calculated formation energy: -0.72 eV/atom

Geometry as POSCAR:
```
Ba2AcPt9
1.0
2.800 1.616 9.167
-2.800 1.616 9.167
0.000 -3.233 9.167
Ba Ac Pt
2 1 9
Direct
0.142 0.142 0.142
0.858 0.858 0.858
0.000 0.000 0.000
0.081 0.581 0.581
0.332 0.332 0.332
0.419 0.419 0.919
0.419 0.919 0.419
0.500 0.500 0.500
0.581 0.081 0.581
0.581 0.581 0.081
0.668 0.668 0.668
0.919 0.419 0.419
```



19.
The following is a GGA-PBE calculation of a geometry-optimized NiSb2Ru structure, from Alexandria via LeMat-Bulk.

DOS at the Fermi energy: 2.95 states/eV/f.u.
formation energy (no corrections): 152 meV/atom
energy above the lowest structure with this stoichiometry: 202 meV/atom

Geometry as POSCAR:
```
NiSb2Ru
1.0
6.573 0.000 0.000
0.000 6.595 0.000
0.000 0.000 3.199
Ni Sb Ru
2 4 2
Direct
0.000 0.000 0.000
0.500 0.500 0.000
0.250 0.250 0.500
0.250 0.750 0.500
0.750 0.250 0.500
0.750 0.750 0.500
0.000 0.500 0.000
0.500 0.000 0.000
```



20.
The following is a GGA-PBE calculation of a geometry-optimized Ca3Bi3Rh structure, from Alexandria via LeMat-Bulk.

DOS at the Fermi energy: 3.82 states/eV/f.u.
calculated formation energy: -0.64 eV/atom

Geometry as POSCAR:
```
Ca3Bi3Rh
1.0
5.902 -2.302 0.000
5.902 2.302 0.000
-4.083 0.000 14.937
Ca Bi Rh
6 6 2
Direct
0.039 0.039 0.387
0.060 0.060 0.909
0.260 0.260 0.236
0.740 0.740 0.764
0.940 0.940 0.091
0.961 0.961 0.613
0.336 0.336 0.929
0.352 0.352 0.460
0.447 0.447 0.757
0.553 0.553 0.243
0.648 0.648 0.540
0.664 0.664 0.071
0.252 0.252 0.611
0.748 0.748 0.389
```



| no. | V (Å³/atom) |
| --- | --- |
| 1 | 22.29 |
| 2 | 25.34 |
| 3 | 32.08 |
| 4 | 28.54 |
| 5 | 9.23 |
| 6 | 23.71 |
| 7 | 18.46 |
| 8 | 31.71 |
| 9 | 19.05 |
| 10 | 16.03 |
| 11 | 23.48 |
| 12 | 31.07 |
| 13 | 36.00 |
| 14 | 26.44 |
| 15 | 21.72 |
| 16 | 38.37 |
| 17 | 25.78 |
| 18 | 20.74 |
| 19 | 17.33 |
| 20 | 28.99 |